Sc6AlRh2: optimized geometry, PBE.

Geometry as POSCAR:
```
Sc6AlRh2
1.0
-4.383 4.401 4.841
4.383 -4.401 4.841
4.383 4.401 -4.841
Sc Al Rh
12 2 4
direct
0.032 0.828 0.204
0.240 0.541 0.301
0.240 0.939 0.699
0.285 0.317 0.602
0.285 0.683 0.967
0.375 0.172 0.204
0.625 0.828 0.796
0.715 0.317 0.033
0.715 0.683 0.398
0.760 0.061 0.301
0.760 0.459 0.699
0.968 0.172 0.796
0.000 0.500 0.500
0.500 0.000 0.500
0.000 0.169 0.169
0.000 0.831 0.831
0.361 0.361 0.000
0.639 0.639 0.000
```

Calculated values
- ΔH_f (0 K): -5.272 eV per formula unit
- Crystal system: orthorhombic
- Raw total energy: -123.41 eV for the cell shown

Sc4AlRh5: optimized geometry, PBE.

Geometry as POSCAR:
```
Sc4AlRh5
1.0
3.194 0.000 0.000
0.000 3.194 0.000
0.000 0.000 15.839
Sc Al Rh
4 1 5
direct
0.000 0.000 0.103
0.000 0.000 0.308
0.000 0.000 0.692
0.000 0.000 0.897
0.000 0.000 0.500
0.500 0.500 0.000
0.500 0.500 0.205
0.500 0.500 0.410
0.500 0.500 0.590
0.500 0.500 0.795
```

Calculated values
- ΔH_f (0 K): -10.207 eV per formula unit
- Crystal system: tetragonal
- Raw total energy: -76.03 eV for the cell shown

Sc2Al8Rh: optimized geometry, PBE.

Geometry as POSCAR:
```
Sc2Al8Rh
1.0
4.178 0.000 0.000
0.000 4.178 0.000
0.000 0.000 10.845
Sc Al Rh
2 8 1
direct
0.000 0.000 0.187
0.000 0.000 0.813
0.000 0.500 0.000
0.000 0.500 0.373
0.000 0.500 0.627
0.500 0.000 0.000
0.500 0.000 0.373
0.500 0.000 0.627
0.500 0.500 0.191
0.500 0.500 0.809
0.000 0.000 0.500
```

Calculated values
- ΔH_f (0 K): -6.135 eV per formula unit
- Crystal system: tetragonal
- Raw total energy: -56.09 eV for the cell shown

Sc6AlRh5: optimized geometry, PBE.

Geometry as POSCAR:
```
Sc6AlRh5
1.0
-2.272 3.316 6.869
2.272 -3.316 6.869
2.272 3.316 -6.869
Sc Al Rh
6 1 5
direct
0.075 0.330 0.745
0.239 0.000 0.239
0.415 0.670 0.745
0.585 0.330 0.255
0.761 0.000 0.761
0.925 0.670 0.255
0.500 0.500 0.000
0.000 0.500 0.500
0.169 0.169 0.000
0.339 0.839 0.500
0.661 0.161 0.500
0.831 0.831 0.000
```

Calculated values
- ΔH_f (0 K): -10.820 eV per formula unit
- Crystal system: orthorhombic
- Raw total energy: -89.31 eV for the cell shown

ScAl2Rh2: optimized geometry, PBE.

Geometry as POSCAR:
```
ScAl2Rh2
1.0
7.323 0.000 0.000
0.000 7.323 0.000
0.000 0.000 2.919
Sc Al Rh
2 4 4
direct
0.000 0.000 0.000
0.500 0.500 0.000
0.143 0.357 0.500
0.357 0.857 0.500
0.643 0.143 0.500
0.857 0.643 0.500
0.152 0.652 0.000
0.348 0.152 0.000
0.652 0.848 0.000
0.848 0.348 0.000
```

Calculated values
- ΔE to the lowest computed polymorph: 0.0 kJ per mole of atoms
- ΔH_f (0 K): -4.494 eV per formula unit
- Crystal system: tetragonal
- Raw total energy: -66.03 eV for the cell shown

Sc5AlRh4: optimized geometry, PBE.

Geometry as POSCAR:
```
Sc5AlRh4
1.0
3.256 0.000 0.000
0.000 3.256 0.000
0.000 0.000 16.366
Sc Al Rh
5 1 4
direct
0.000 0.000 0.000
0.000 0.000 0.196
0.000 0.000 0.390
0.000 0.000 0.610
0.000 0.000 0.804
0.500 0.500 0.500
0.500 0.500 0.098
0.500 0.500 0.296
0.500 0.500 0.704
0.500 0.500 0.902
```

Calculated values
- ΔH_f (0 K): -9.063 eV per formula unit
- Crystal system: tetragonal
- Raw total energy: -73.87 eV for the cell shown

no.,magnetic moment (μB/f.u.)
1,0.0
2,0.0
3,0.0
4,0.0
5,0.0
6,0.0